Record 1
Computed, not measured: Ta3AlC2 after structural relaxation at the GGA-PBEsol level of DFT.

POSCAR file:
```
Ta3AlC2
1.0
-2.312 0.691 1.905
0.966 -2.908 -0.254
12.553 2.930 14.174
Ta Al C
6 2 4
Direct
0.333 0.667 0.366 Ta
0.667 0.333 0.866 Ta
0.333 0.667 0.134 Ta
0.667 0.333 0.634 Ta
0.000 0.000 0.000 Ta
0.000 0.000 0.500 Ta
0.000 0.000 0.250 Al
0.000 0.000 0.750 Al
0.667 0.333 0.068 C
0.667 0.333 0.432 C
0.333 0.667 0.932 C
0.333 0.667 0.568 C
```

ΔH_f (0 K) ... -631 meV per atom

---

Record 2
Computed, not measured: Li2AuSe after structural relaxation at the GGA-PBEsol level of DFT.

POSCAR file:
```
Li2AuSe
1.0
4.461 0.000 0.000
2.230 3.863 0.000
2.230 1.288 3.642
Au Se Li
1 1 2
Direct
0.000 0.000 0.000 Au
0.500 0.500 0.500 Se
0.250 0.250 0.250 Li
0.750 0.750 0.750 Li
```

Formation energy (no corrections) ... -0.638 eV per atom

---

Record 3
Computed, not measured: MgAlCu2 after structural relaxation at the GGA-PBEsol level of DFT.

POSCAR file:
```
MgAlCu2
1.0
-1.815 -0.593 -2.067
2.885 -2.231 -1.894
-0.561 -3.663 3.461
Mg Al Cu
1 1 2
Direct
0.093 0.000 0.187 Mg
0.414 0.500 0.827 Al
0.829 0.000 0.658 Cu
0.688 0.500 0.376 Cu
```

ΔH_f (0 K) ... -115 meV per atom

---

Record 4
Computed, not measured: TePdAuCl2 after structural relaxation at the GGA-PBEsol level of DFT.

POSCAR file:
```
TePdAuCl2
1.0
-1.855 -3.314 -2.461
4.049 -0.937 -1.791
0.972 -3.559 4.060
Te Au Pd Cl
1 1 1 2
Direct
0.500 0.500 0.500 Te
0.000 0.000 0.500 Au
0.000 0.000 0.000 Pd
0.000 0.500 0.000 Cl
0.500 0.000 0.000 Cl
```

Formation energy (no corrections) ... 0.189 eV per atom

---

Record 5
Computed, not measured: YSc3 after structural relaxation at the GGA-PBEsol level of DFT.

POSCAR file:
```
YSc3
1.0
5.196 0.000 0.000
0.000 6.708 0.000
0.000 -3.354 5.809
Sc Y
6 2
Direct
0.750 0.163 0.325 Sc
0.250 0.837 0.675 Sc
0.750 0.163 0.837 Sc
0.250 0.837 0.163 Sc
0.750 0.675 0.837 Sc
0.250 0.325 0.163 Sc
0.750 0.667 0.333 Y
0.250 0.333 0.667 Y
```

E above lowest polymorph ... 0.0 meV/atom
ΔH_f (0 K) ... 19 meV per atom

---

Record 6
Computed, not measured: Li2NiOs after structural relaxation at the GGA-PBEsol level of DFT.

POSCAR file:
```
Li2NiOs
1.0
2.476 0.000 0.000
0.000 4.325 0.000
0.000 0.000 4.325
Li Ni Os
2 1 1
Direct
0.000 0.000 0.500 Li
0.000 0.500 0.000 Li
0.500 0.500 0.500 Ni
0.500 0.000 0.000 Os
```

E above lowest polymorph ... 408.7 meV/atom
ΔH_f (0 K) ... 508 meV per atom

---

Record 7
Computed, not measured: TlHgPb2 after structural relaxation at the GGA-PBEsol level of DFT.

POSCAR file:
```
TlHgPb2
1.0
3.460 0.000 0.000
0.000 3.460 0.000
0.000 0.000 9.211
Pb Tl Hg
2 1 1
Direct
0.000 0.000 0.986 Pb
0.500 0.500 0.251 Pb
0.000 0.000 0.515 Tl
0.500 0.500 0.748 Hg
```

ΔH_f (0 K) ... -9 meV per atom

---

Record 8
Computed, not measured: SrTa2P after structural relaxation at the GGA-PBEsol level of DFT.

POSCAR file:
```
SrTa2P
1.0
3.481 0.000 -0.029
0.000 4.139 0.000
-1.685 0.000 6.278
P Sr Ta
1 1 2
Direct
0.664 0.000 0.453 P
0.279 0.500 0.683 Sr
0.016 0.000 0.156 Ta
0.542 0.500 0.208 Ta
```

ΔH_f (0 K) ... -117 meV per atom

---

Record 9
Computed, not measured: Ag2IrBr after structural relaxation at the GGA-PBEsol level of DFT.

POSCAR file:
```
Ag2IrBr
1.0
-2.534 1.341 2.910
2.178 -2.001 2.818
2.534 3.637 -2.336
Ir Br Ag
1 1 2
Direct
0.250 0.750 0.500 Ir
0.500 0.500 0.000 Br
0.000 0.000 0.000 Ag
0.750 0.250 0.500 Ag
```

Formation energy (no corrections) ... 0.795 eV per atom
E above lowest polymorph ... 257.2 meV/atom

---

Record 10
Computed, not measured: AsRu2Au after structural relaxation at the GGA-PBEsol level of DFT.

POSCAR file:
```
AsRu2Au
1.0
-0.456 -0.750 2.700
2.619 -0.287 -1.059
1.887 7.926 2.519
Ru As Au
2 1 1
Direct
0.000 0.000 0.280 Ru
0.000 0.000 0.720 Ru
0.500 0.500 0.500 As
0.500 0.500 0.000 Au
```

ΔH_f (0 K) ... 387 meV per atom

---

Record 11
Computed, not measured: NiWO2 after structural relaxation at the GGA-PBEsol level of DFT.

POSCAR file:
```
NiWO2
1.0
-0.860 -2.418 -1.316
-1.129 -2.158 1.543
-6.211 0.850 -0.662
Ni O W
1 2 1
Direct
0.500 0.500 0.500 Ni
0.895 0.895 0.314 O
0.105 0.105 0.686 O
0.000 0.000 0.000 W
```

Formation energy (no corrections) ... -0.730 eV per atom

---

Record 12
Computed, not measured: Ba3AgOs after structural relaxation at the GGA-PBEsol level of DFT.

POSCAR file:
```
Ba3AgOs
1.0
-5.548 -1.791 1.330
1.541 -5.655 -1.186
1.613 -0.758 5.708
Os Ba Ag
1 3 1
Direct
0.500 0.500 0.500 Os
0.000 0.500 0.000 Ba
0.000 0.000 0.500 Ba
0.500 0.000 0.000 Ba
0.000 0.000 0.000 Ag
```

ΔH_f (0 K) ... 1204 meV per atom

---

| no. | N(E_F) (states/eV/cell) |
| --- | --- |
| 1 | 1.27 |
| 2 | 1.07 |
| 3 | 1.15 |
| 4 | 4.01 |
| 5 | 15.61 |
| 6 | 4.89 |
| 7 | 1.44 |
| 8 | 2.70 |
| 9 | 5.39 |
| 10 | 3.24 |
| 11 | 2.50 |
| 12 | 9.07 |